Compound: Nd2MnNiO6
Source: Alexandria via LeMat-Bulk
Functional: GGA+U
Structure: relaxed

The space group is No. 14. As for the crystal system: monoclinic. Its volume is 11.799 A^3/atom. The density of states at the Fermi level is 0.00 states/eV/atom. The value obtained for the total energy is -146.72 eV for the cell shown.

Cell lengths 5.446, 5.590, 9.471 Å; angles 90.00, 125.07, 90.00 degrees
Fractional coordinates of all 20 atoms:
1 Nd 0.237 0.053 0.249
2 Nd 0.237 0.447 0.749
3 Nd 0.763 0.553 0.251
4 Nd 0.763 0.947 0.751
5 Mn 0.500 0.000 0.000
6 Mn 0.500 0.500 0.500
7 Ni 0.000 0.000 0.500
8 Ni 0.000 0.500 0.000
9 O 0.171 0.200 0.956
10 O 0.171 0.300 0.456
11 O 0.255 0.716 0.954
12 O 0.255 0.784 0.454
13 O 0.343 0.022 0.758
14 O 0.343 0.478 0.258
15 O 0.657 0.522 0.742
16 O 0.657 0.978 0.242
17 O 0.745 0.216 0.546
18 O 0.745 0.284 0.046
19 O 0.829 0.700 0.544
20 O 0.829 0.800 0.044